Compound: TcWI2
Source: Alexandria via LeMat-Bulk
Functional: PBE-GGA
Structure: relaxed

```
TcWI2
1.0
-3.0082 3.0082 5.9802
3.0082 -3.0082 5.9802
3.0082 3.0082 -5.9802
Tc W I
2 2 4
Direct
0.0000 0.0000 0.0000
0.7500 0.2500 0.5000
0.2500 0.7500 0.5000
0.5000 0.5000 0.0000
0.1210 0.6250 0.9960
0.3750 0.3710 0.4960
0.6290 0.1250 0.0040
0.8750 0.8790 0.5040
```

Summary:
calculated total energy: -5.04 eV per atom
spin magnetization: 0.0 μB per formula unit
formation energy without anion corrections: 1.5688 eV/atom